Record 1
DFT (PBE-GGA) results for a relaxed structure of Pm5Ag2Sn5.

Values from the calculation:
* SG: C2/m
* total energy: -4.760 eV per atom
* magnetization: 0.00 μB per atom
* excess energy over the best structure of this formula in the dataset: 0 meV/atom

POSCAR file:
```
Pm5Ag2Sn5
1.0
8.1979 -2.3668 0.0000
8.1979 2.3668 0.0000
-6.8529 0.0000 8.4533
Pm Ag Sn
5 2 5
Direct
0.0000 0.0000 0.0000
0.1083 0.1083 0.4202
0.1872 0.1872 0.8268
0.8128 0.8128 0.1732
0.8917 0.8917 0.5798
0.3560 0.3560 0.7542
0.6440 0.6440 0.2458
0.2578 0.2578 0.3180
0.4370 0.4370 0.1431
0.5000 0.5000 0.5000
0.5630 0.5630 0.8569
0.7422 0.7422 0.6820
```

---

Record 2
DFT (PBE-GGA) results for a relaxed structure of PmAgSn.

Values from the calculation:
* SG: Fddd
* total energy: -4.150 eV per atom
* magnetization: 0.00 μB per atom
* excess energy over the best structure of this formula in the dataset: 302 meV/atom

POSCAR file:
```
PmAgSn
1.0
0.0000 5.2837 7.1399
4.2802 0.0000 7.1399
4.2802 5.2837 0.0000
Pm Ag Sn
4 4 4
Direct
0.0000 0.0000 0.0000
0.0000 0.0000 0.5000
0.0000 0.5000 0.0000
0.5000 0.0000 0.0000
0.2436 0.5064 0.2436
0.4936 0.7564 0.4936
0.5064 0.2436 0.5064
0.7564 0.4936 0.7564
0.2035 0.2035 0.5465
0.4535 0.4535 0.7965
0.5465 0.5465 0.2035
0.7965 0.7965 0.4535
```